# AuBr2O | Alexandria via LeMat-Bulk | PBE | relaxed
data_AuBr2O
_cell_length_a 3.9712
_cell_length_b 3.9712
_cell_length_c 23.3912
_cell_angle_alpha 90.00
_cell_angle_beta 90.00
_cell_angle_gamma 120.00
_space_group_name_H-M_alt 'R -3 m'
_space_group_IT_number 166
_space_group_name_Hall '-R 3 2"'
loop_
_atom_site_label
_atom_site_type_symbol
_atom_site_fract_x
_atom_site_fract_y
_atom_site_fract_z
Au1 Au 0.0000 0.0000 0.0000
Br1 Br 0.0000 0.0000 0.1029
O1 O 0.0000 0.0000 0.5000
# DOS at the Fermi energy	0.195	states/eV per atom
# electronic total energy	-2.28	eV per atom
# formation energy (no corrections)	0.616	eV per atom
# crystal system	trigonal

# LaMg2W | Alexandria via LeMat-Bulk | PBE | relaxed
data_LaMg2W
_cell_length_a 2.9636
_cell_length_b 5.0839
_cell_length_c 5.9429
_cell_angle_alpha 90.00
_cell_angle_beta 101.44
_cell_angle_gamma 90.00
_space_group_name_H-M_alt 'P 1 2/m 1'
_space_group_IT_number 10
loop_
_space_group_symop_operation_xyz
'x,y,z'
'-x,-y,-z'
'-x,y,-z'
'x,-y,z'
loop_
_atom_site_label
_atom_site_type_symbol
_atom_site_fract_x
_atom_site_fract_y
_atom_site_fract_z
La1 La 0.0000 0.0000 0.0000
Mg1 Mg 0.4058 0.5000 0.7168
W1 W 0.0000 0.0000 0.5000
# formation energy	44.5	kJ per mole of atoms
# DOS at the Fermi energy	1.063	states/eV per atom
# electronic total energy	-4.81	eV per atom
# crystal system	monoclinic

# HfCrAsSe2 | Alexandria via LeMat-Bulk | PBE | relaxed
data_HfCrAsSe2
_cell_length_a 4.7551
_cell_length_b 4.7551
_cell_length_c 4.7270
_cell_angle_alpha 90.00
_cell_angle_beta 90.00
_cell_angle_gamma 90.00
_space_group_name_H-M_alt 'P 4/m m m'
_space_group_IT_number 123
_space_group_name_Hall '-P 4 2'
loop_
_atom_site_label
_atom_site_type_symbol
_atom_site_fract_x
_atom_site_fract_y
_atom_site_fract_z
Hf1 Hf 0.0000 0.0000 0.0000
Cr1 Cr 0.5000 0.5000 0.5000
As1 As 0.5000 0.5000 0.0000
Se1 Se 0.0000 0.5000 0.5000
# DOS at the Fermi energy	0.749	states/eV per atom
# electronic total energy	-6.03	eV per atom
# formation energy (no corrections)	0.211	eV per atom
# crystal system	tetragonal

# TeSF | Alexandria via LeMat-Bulk | PBE | relaxed
data_TeSF
_cell_length_a 4.5844
_cell_length_b 6.1685
_cell_length_c 7.0621
_cell_angle_alpha 75.86
_cell_angle_beta 72.66
_cell_angle_gamma 71.87
_space_group_name_H-M_alt 'P -1'
_space_group_IT_number 2
loop_
_space_group_symop_operation_xyz
'x,y,z'
'-x,-y,-z'
loop_
_atom_site_label
_atom_site_type_symbol
_atom_site_fract_x
_atom_site_fract_y
_atom_site_fract_z
Te1 Te 0.1941 0.2954 0.3045
S1 S 0.0531 0.6812 0.2553
F1 F 0.3525 0.7694 0.6719
# electronic total energy	-3.78	eV per atom
# formation energy (no corrections)	-0.734	eV per atom
# crystal system	triclinic

# FeCoIr2 | Alexandria via LeMat-Bulk | PBE | relaxed
data_FeCoIr2
_cell_length_a 2.7006
_cell_length_b 2.7006
_cell_length_c 7.1546
_cell_angle_alpha 90.00
_cell_angle_beta 90.00
_cell_angle_gamma 90.00
_space_group_name_H-M_alt 'P 4 m m'
_space_group_IT_number 99
loop_
_space_group_symop_operation_xyz
'x,y,z'
'-y,x,z'
'-x,-y,z'
'y,-x,z'
'-x,y,z'
'y,x,z'
'x,-y,z'
'-y,-x,z'
loop_
_atom_site_label
_atom_site_type_symbol
_atom_site_fract_x
_atom_site_fract_y
_atom_site_fract_z
Fe1 Fe 0.0000 0.0000 0.0000
Co1 Co 0.5000 0.5000 0.7729
Ir1 Ir 0.0000 0.0000 0.5265
Ir2 Ir 0.5000 0.5000 0.2553
# formation energy	2.5	kJ per mole of atoms
# DOS at the Fermi energy	1.220	states/eV per atom
# electronic total energy	-8.30	eV per atom
# crystal system	tetragonal

# V2BMo | Alexandria via LeMat-Bulk | PBE | relaxed
data_V2BMo
_cell_length_a 6.8485
_cell_length_b 6.8485
_cell_length_c 4.4411
_cell_angle_alpha 90.00
_cell_angle_beta 90.00
_cell_angle_gamma 90.00
_space_group_name_H-M_alt 'I -4 2 d'
_space_group_IT_number 122
_space_group_name_Hall 'I -4 2bw'
loop_
_atom_site_label
_atom_site_type_symbol
_atom_site_fract_x
_atom_site_fract_y
_atom_site_fract_z
V1 V 0.1616 0.2500 0.1250
B1 B 0.0000 0.0000 0.0000
Mo1 Mo 0.0000 0.0000 0.5000
# formation energy	20.6	kJ per mole of atoms
# DOS at the Fermi energy	1.100	states/eV per atom
# electronic total energy	-8.72	eV per atom
# crystal system	tetragonal

# LaTh2PtN4 | Alexandria via LeMat-Bulk | PBE | relaxed
data_LaTh2PtN4
_cell_length_a 3.5803
_cell_length_b 12.1434
_cell_length_c 12.2507
_cell_angle_alpha 90.00
_cell_angle_beta 90.00
_cell_angle_gamma 90.00
_space_group_name_H-M_alt 'C m c m'
_space_group_IT_number 63
_space_group_name_Hall '-C 2c 2'
loop_
_atom_site_label
_atom_site_type_symbol
_atom_site_fract_x
_atom_site_fract_y
_atom_site_fract_z
La1 La 0.0000 0.1103 0.2500
Th1 Th 0.0000 0.3703 0.0563
Pt1 Pt 0.0000 0.1519 0.7500
N1 N 0.0000 0.0000 0.0000
N2 N 0.0000 0.2736 0.6133
N3 N 0.0000 0.4560 0.2500
# DOS at the Fermi energy	0.351	states/eV per atom
# electronic total energy	-8.51	eV per atom
# formation energy (no corrections)	-1.118	eV per atom
# crystal system	orthorhombic

# CdRuCl | Alexandria via LeMat-Bulk | PBE | relaxed
data_CdRuCl
_cell_length_a 3.2067
_cell_length_b 3.2067
_cell_length_c 6.3393
_cell_angle_alpha 90.00
_cell_angle_beta 90.00
_cell_angle_gamma 120.00
_space_group_name_H-M_alt 'P 3 m 1'
_space_group_IT_number 156
loop_
_space_group_symop_operation_xyz
'x,y,z'
'-y,x-y,z'
'-x+y,-x,z'
'-y,-x,z'
'-x+y,y,z'
'x,x-y,z'
loop_
_atom_site_label
_atom_site_type_symbol
_atom_site_fract_x
_atom_site_fract_y
_atom_site_fract_z
Cd1 Cd 0.0000 0.0000 0.0000
Ru1 Ru 0.6667 0.3333 0.6685
Cl1 Cl 0.3333 0.6667 0.3946
# DOS at the Fermi energy	0.782	states/eV per atom
# electronic total energy	-3.74	eV per atom
# formation energy (no corrections)	0.272	eV per atom
# crystal system	trigonal

# YMgH2 | Alexandria via LeMat-Bulk | PBE | relaxed
data_YMgH2
_cell_length_a 4.8029
_cell_length_b 4.8029
_cell_length_c 10.6247
_cell_angle_alpha 90.00
_cell_angle_beta 90.00
_cell_angle_gamma 90.00
_space_group_name_H-M_alt 'I -4 2 d'
_space_group_IT_number 122
_space_group_name_Hall 'I -4 2bw'
loop_
_atom_site_label
_atom_site_type_symbol
_atom_site_fract_x
_atom_site_fract_y
_atom_site_fract_z
Y1 Y 0.0000 0.0000 0.0000
Mg1 Mg 0.0000 0.0000 0.5000
H1 H 0.2392 0.2500 0.1250
# DOS at the Fermi energy	0.389	states/eV per atom
# electronic total energy	-3.90	eV per atom
# crystal system	tetragonal

# YScPRh2 | Alexandria via LeMat-Bulk | PBE | relaxed
data_YScPRh2
_cell_length_a 4.4835
_cell_length_b 4.4835
_cell_length_c 5.0214
_cell_angle_alpha 90.00
_cell_angle_beta 90.00
_cell_angle_gamma 90.00
_space_group_name_H-M_alt 'P 4/m m m'
_space_group_IT_number 123
_space_group_name_Hall '-P 4 2'
loop_
_atom_site_label
_atom_site_type_symbol
_atom_site_fract_x
_atom_site_fract_y
_atom_site_fract_z
Y1 Y 0.0000 0.0000 0.0000
Sc1 Sc 0.5000 0.5000 0.0000
P1 P 0.0000 0.0000 0.5000
Rh1 Rh 0.0000 0.5000 0.5000
# formation energy	-30.8	kJ per mole of atoms
# DOS at the Fermi energy	1.617	states/eV per atom
# electronic total energy	-6.90	eV per atom
# crystal system	tetragonal

# Sr3CdAs | Alexandria via LeMat-Bulk | PBE | relaxed
data_Sr3CdAs
_cell_length_a 5.9930
_cell_length_b 5.9930
_cell_length_c 5.9930
_cell_angle_alpha 90.00
_cell_angle_beta 90.00
_cell_angle_gamma 90.00
_space_group_name_H-M_alt 'P m -3 m'
_space_group_IT_number 221
_space_group_name_Hall '-P 4 2 3'
loop_
_atom_site_label
_atom_site_type_symbol
_atom_site_fract_x
_atom_site_fract_y
_atom_site_fract_z
Sr1 Sr 0.0000 0.0000 0.5000
Cd1 Cd 0.5000 0.5000 0.5000
As1 As 0.0000 0.0000 0.0000
# formation energy	-50.0	kJ per mole of atoms
# DOS at the Fermi energy	0.914	states/eV per atom
# electronic total energy	-2.64	eV per atom
# crystal system	cubic

# CaTi3H | Alexandria via LeMat-Bulk | PBE | relaxed
data_CaTi3H
_cell_length_a 4.3502
_cell_length_b 4.3502
_cell_length_c 4.3502
_cell_angle_alpha 90.00
_cell_angle_beta 90.00
_cell_angle_gamma 90.00
_space_group_name_H-M_alt 'P m -3 m'
_space_group_IT_number 221
_space_group_name_Hall '-P 4 2 3'
loop_
_atom_site_label
_atom_site_type_symbol
_atom_site_fract_x
_atom_site_fract_y
_atom_site_fract_z
Ca1 Ca 0.0000 0.0000 0.0000
Ti1 Ti 0.0000 0.5000 0.5000
H1 H 0.5000 0.5000 0.5000
# DOS at the Fermi energy	1.731	states/eV per atom
# electronic total energy	-5.52	eV per atom
# crystal system	cubic

# HfAsIrOs2 | Alexandria via LeMat-Bulk | PBE | relaxed
data_HfAsIrOs2
_cell_length_a 4.7398
_cell_length_b 4.7398
_cell_length_c 4.8391
_cell_angle_alpha 90.00
_cell_angle_beta 90.00
_cell_angle_gamma 90.00
_space_group_name_H-M_alt 'P 4/m m m'
_space_group_IT_number 123
_space_group_name_Hall '-P 4 2'
loop_
_atom_site_label
_atom_site_type_symbol
_atom_site_fract_x
_atom_site_fract_y
_atom_site_fract_z
Hf1 Hf 0.0000 0.0000 0.0000
As1 As 0.0000 0.0000 0.5000
Ir1 Ir 0.5000 0.5000 0.5000
Os1 Os 0.0000 0.5000 0.0000
# formation energy	217.4	kJ per mole of atoms
# DOS at the Fermi energy	1.266	states/eV per atom
# electronic total energy	-6.93	eV per atom
# crystal system	tetragonal

# BaRhAu2 | Alexandria via LeMat-Bulk | PBE | relaxed
data_BaRhAu2
_cell_length_a 3.5570
_cell_length_b 5.1131
_cell_length_c 10.2488
_cell_angle_alpha 90.00
_cell_angle_beta 90.00
_cell_angle_gamma 90.00
_space_group_name_H-M_alt 'I m m m'
_space_group_IT_number 71
_space_group_name_Hall '-I 2 2'
loop_
_atom_site_label
_atom_site_type_symbol
_atom_site_fract_x
_atom_site_fract_y
_atom_site_fract_z
Ba1 Ba 0.0000 0.0000 0.0000
Rh1 Rh 0.0000 0.0000 0.5000
Au1 Au 0.0000 0.5000 0.2092
# formation energy	-5.0	kJ per mole of atoms
# DOS at the Fermi energy	0.722	states/eV per atom
# electronic total energy	-4.01	eV per atom
# crystal system	orthorhombic

# LiTiIn3 | Alexandria via LeMat-Bulk | PBE | relaxed
data_LiTiIn3
_cell_length_a 4.8106
_cell_length_b 4.8106
_cell_length_c 4.8106
_cell_angle_alpha 90.00
_cell_angle_beta 90.00
_cell_angle_gamma 90.00
_space_group_name_H-M_alt 'P m -3 m'
_space_group_IT_number 221
_space_group_name_Hall '-P 4 2 3'
loop_
_atom_site_label
_atom_site_type_symbol
_atom_site_fract_x
_atom_site_fract_y
_atom_site_fract_z
Li1 Li 0.0000 0.0000 0.0000
Ti1 Ti 0.5000 0.5000 0.5000
In1 In 0.0000 0.0000 0.5000
# formation energy	45.4	kJ per mole of atoms
# DOS at the Fermi energy	1.091	states/eV per atom
# electronic total energy	-3.13	eV per atom
# crystal system	cubic

# LuAgHg | Alexandria via LeMat-Bulk | PBE | relaxed
data_LuAgHg
_cell_length_a 4.8337
_cell_length_b 4.8337
_cell_length_c 3.2813
_cell_angle_alpha 90.00
_cell_angle_beta 90.00
_cell_angle_gamma 120.00
_space_group_name_H-M_alt 'P -6 m 2'
_space_group_IT_number 187
_space_group_name_Hall 'P -6 2'
loop_
_atom_site_label
_atom_site_type_symbol
_atom_site_fract_x
_atom_site_fract_y
_atom_site_fract_z
Lu1 Lu 0.0000 0.0000 0.0000
Ag1 Ag 0.6667 0.3333 0.5000
Hg1 Hg 0.3333 0.6667 0.5000
# formation energy	-29.7	kJ per mole of atoms
# DOS at the Fermi energy	0.590	states/eV per atom
# electronic total energy	-2.87	eV per atom
# crystal system	hexagonal

# Sm2TmRu | Alexandria via LeMat-Bulk | PBE | relaxed
data_Sm2TmRu
_cell_length_a 7.3410
_cell_length_b 9.4013
_cell_length_c 6.3503
_cell_angle_alpha 90.00
_cell_angle_beta 90.00
_cell_angle_gamma 90.00
_space_group_name_H-M_alt 'P n m a'
_space_group_IT_number 62
loop_
_space_group_symop_operation_xyz
'x,y,z'
'-x,-y,-z'
'-x+1/2,-y,z+1/2'
'x+1/2,y,-z+1/2'
'x+1/2,-y+1/2,-z+1/2'
'-x+1/2,y+1/2,z+1/2'
'-x,y+1/2,-z'
'x,-y+1/2,z'
loop_
_atom_site_label
_atom_site_type_symbol
_atom_site_fract_x
_atom_site_fract_y
_atom_site_fract_z
Sm1 Sm 0.1777 0.0644 0.1705
Tm1 Tm 0.0434 0.2500 0.6408
Ru1 Ru 0.1151 0.7500 0.9655
# formation energy	-26.1	kJ per mole of atoms
# DOS at the Fermi energy	0.838	states/eV per atom
# electronic total energy	-6.07	eV per atom
# crystal system	orthorhombic

# NiB6Pt12 | Alexandria via LeMat-Bulk | PBE | relaxed
data_NiB6Pt12
_cell_length_a 11.2374
_cell_length_b 11.2374
_cell_length_c 6.8718
_cell_angle_alpha 90.00
_cell_angle_beta 90.00
_cell_angle_gamma 120.00
_space_group_name_H-M_alt 'R -3'
_space_group_IT_number 148
_space_group_name_Hall '-R 3'
loop_
_atom_site_label
_atom_site_type_symbol
_atom_site_fract_x
_atom_site_fract_y
_atom_site_fract_z
Ni1 Ni 0.0000 0.0000 0.0000
B1 B 0.0849 0.5090 0.3227
Pt1 Pt 0.0237 0.2531 0.9455
Pt2 Pt 0.0637 0.1921 0.3527
# formation energy	-14.2	kJ per mole of atoms
# DOS at the Fermi energy	0.534	states/eV per atom
# electronic total energy	-6.38	eV per atom
# crystal system	trigonal

# PmGdCoSn | Alexandria via LeMat-Bulk | PBE | relaxed
data_PmGdCoSn
_cell_length_a 7.3264
_cell_length_b 7.3264
_cell_length_c 7.3264
_cell_angle_alpha 90.00
_cell_angle_beta 90.00
_cell_angle_gamma 90.00
_space_group_name_H-M_alt 'F -4 3 m'
_space_group_IT_number 216
_space_group_name_Hall 'F -4 2 3'
loop_
_atom_site_label
_atom_site_type_symbol
_atom_site_fract_x
_atom_site_fract_y
_atom_site_fract_z
Pm1 Pm 0.0000 0.0000 0.0000
Gd1 Gd 0.0000 0.0000 0.5000
Co1 Co 0.2500 0.2500 0.7500
Sn1 Sn 0.2500 0.2500 0.2500
# formation energy	-27.4	kJ per mole of atoms
# DOS at the Fermi energy	0.887	states/eV per atom
# electronic total energy	-7.77	eV per atom
# crystal system	cubic

# AcSm2 | Alexandria via LeMat-Bulk | PBE | relaxed
data_AcSm2
_cell_length_a 3.7788
_cell_length_b 3.7788
_cell_length_c 15.6974
_cell_angle_alpha 90.00
_cell_angle_beta 90.00
_cell_angle_gamma 90.00
_space_group_name_H-M_alt 'I 4/m m m'
_space_group_IT_number 139
_space_group_name_Hall '-I 4 2'
loop_
_atom_site_label
_atom_site_type_symbol
_atom_site_fract_x
_atom_site_fract_y
_atom_site_fract_z
Ac1 Ac 0.0000 0.0000 0.0000
Sm1 Sm 0.0000 0.0000 0.3281
# formation energy	3.9	kJ per mole of atoms
# DOS at the Fermi energy	1.576	states/eV per atom
# electronic total energy	-4.47	eV per atom
# crystal system	tetragonal